DFT (PBE+U) results for a relaxed CuMoBrO4 crystal.

* Fermi-level density of states: 0.85 states/eV per cell
* energy: -5.607 eV per atom
* total magnetization: 0.0 μB per cell

Lattice parameters (Å, degrees): 9.4499 6.5833 7.9121 90.00 101.40 90.00
With the nearest neighbours (Å) after each atom.
Space group C2/m (No. 12)
One atom of each set of equivalent atoms:
Cu 0.2395 0.0000 0.2187 [4 per cell]  3 O 1.85-1.96
Mo 0.1196 0.5000 0.2429 [4 per cell]  4 O 1.73-1.84
Br 0.0332 0.0000 0.3404 [4 per cell]  1 Cu 2.34
O 0.0726 0.5000 0.8511 [4 per cell]  1 Mo 1.82, 1 Cu 1.96
O 0.1383 0.5000 0.4653 [4 per cell]  1 Mo 1.73
O 0.2182 0.2777 0.1862 [8 per cell]  1 Mo 1.84, 1 Cu 1.85